Entry 1:
## Ta2BeTlAs (PBE-GGA)

Data for a geometry-optimized Ta2BeTlAs structure.

The volume is 97.27 Å³ per cell.

abc: 4.8887 4.8887 4.0702
angles: 90.00 90.00 90.00
Space group P4/mmm (No. 123)
Symmetry-distinct sites (fractional):
Ta 0.0000 0.5000 0.0000 (multiplicity 2)
Be 0.0000 0.0000 0.5000 (multiplicity 1)
Tl 0.5000 0.5000 0.5000 (multiplicity 1)
As 0.0000 0.0000 0.0000 (multiplicity 1)

Entry 2:
## TaBe2VAs (PBE-GGA)

Data for a geometry-optimized TaBe2VAs structure.

The volume is 84.26 Å³ per cell.

abc: 4.2809 4.2809 4.5980
angles: 90.00 90.00 90.00
Space group P4/mmm (No. 123)
Symmetry-distinct sites (fractional):
Ta 0.0000 0.0000 0.0000 (multiplicity 1)
Be 0.0000 0.5000 0.5000 (multiplicity 2)
V 0.0000 0.0000 0.5000 (multiplicity 1)
As 0.5000 0.5000 0.0000 (multiplicity 1)

Entry 3:
## TaBeV2As (PBE-GGA)

Data for a geometry-optimized TaBeV2As structure.

The volume is 95.51 Å³ per cell.

abc: 4.4830 4.4830 4.7526
angles: 90.00 90.00 90.00
Space group P4/mmm (No. 123)
Symmetry-distinct sites (fractional):
Ta 0.0000 0.0000 0.0000 (multiplicity 1)
Be 0.5000 0.5000 0.0000 (multiplicity 1)
V 0.0000 0.5000 0.5000 (multiplicity 2)
As 0.0000 0.0000 0.5000 (multiplicity 1)

Entry 4:
## TbBe8As6 (PBE-GGA)

Data for a geometry-optimized TbBe8As6 structure.

The volume is 469.69 Å³ per cell.

abc: 6.6653 6.6653 12.2080
angles: 90.00 90.00 120.00
Space group P6_3cm (No. 185)
Symmetry-distinct sites (fractional):
Tb 0.0000 0.0000 0.0000 (multiplicity 2)
Be 0.0000 0.3576 0.1634 (multiplicity 6)
Be 0.0000 0.3759 0.3422 (multiplicity 6)
Be 0.3333 0.6667 0.4352 (multiplicity 4)
As 0.0000 0.0000 0.2482 (multiplicity 2)
As 0.0000 0.4207 0.5199 (multiplicity 6)
As 0.3333 0.6667 0.2482 (multiplicity 4)

| no. | formation energy (kJ per mole of atoms) | density of states at the Fermi level (states/eV/atom) |
| --- | --- | --- |
| 1 | 79.24 | 0.376 |
| 2 | 123.10 | 1.629 |
| 3 | 101.42 | 0.936 |
| 4 | -7.60 | 0.144 |